## InFeI2O (PBE with a Hubbard U)

Data for a relaxed InFeI2O crystal.

The structure belongs to space group P4/mmm (No. 123); the cell edges are 6.7065, 6.7065 and 4.2325 Å and the angles 90.00°, 90.00° and 90.00°. The asymmetric unit holds In at (0.0000, 0.0000, 0.0000), Fe at (0.5000, 0.5000, 0.5000), I at (0.0000, 0.5000, 0.0000) and O at (0.0000, 0.0000, 0.5000).

The density of states at the Fermi level comes out at 1.68 states/eV/f.u. Its crystal system is tetragonal. The energy above the most stable polymorph in this dataset comes out at 55.63 kJ per mole of atoms.